PuNiHgO5, optimized geometry, DFT PBE+U; total DFT energy (no corrections) = -6.699 eV per atom
1.0
3.450 -5.525 0.000
3.450 5.525 0.000
-2.279 0.000 6.688
Pu Ni Hg O
2 2 2 10
direct
0.000 0.500 0.000 Pu
0.500 0.000 0.500 Pu
0.003 0.997 0.250 Ni
0.997 0.003 0.750 Ni
0.485 0.515 0.250 Hg
0.515 0.485 0.750 Hg
0.140 0.238 0.104 O
0.183 0.817 0.250 O
0.238 0.140 0.604 O
0.263 0.624 0.911 O
0.376 0.737 0.589 O
0.624 0.263 0.411 O
0.737 0.376 0.089 O
0.762 0.860 0.396 O
0.817 0.183 0.750 O
0.860 0.762 0.896 O